1.
La4HoEr (PBE, relaxed); E_form = 0.40 eV per formula unit; energy relative to the lowest polymorph listed for this composition = 0.00 eV/f.u.; VASP energy = -4.742 eV/atom; space-group type = No. 10
1.0
-4.423 3.708 -0.986
-4.650 -5.211 1.272
-0.095 2.448 9.683
La Ho Er
8 2 2
Cartesian
-4.453 4.508 2.182
-4.615 1.274 8.158
-4.716 -3.563 7.786
-6.873 -2.940 2.448
-2.296 3.885 7.520
-2.362 -1.800 3.803
-6.807 2.745 6.165
-4.554 -0.329 1.810
-3.421 1.775 4.666
-5.748 -0.830 5.302
-5.585 2.405 -0.668
-3.488 -3.908 0.954

***

2.
La2Ho3Er8 (PBE, relaxed); E_form = 3.20 eV per formula unit; VASP energy = -4.376 eV/atom; space-group type = No. 10
1.0
-5.066 1.856 -0.790
-2.014 -6.727 -2.892
-1.712 0.045 11.083
La Ho Er
2 3 8
Cartesian
-4.955 -4.157 3.178
-3.837 -0.669 4.223
-2.533 0.928 -0.395
-2.293 -1.897 10.247
-6.499 -2.929 -2.846
-1.863 -4.410 1.581
-6.929 -0.416 5.820
-4.247 -0.250 7.828
-5.108 -3.124 6.596
-0.672 -0.823 2.378
-3.053 -5.859 5.813
-4.545 -4.576 -0.427
-3.684 -1.701 0.805

***

3.
LaHo4Er5 (PBE, relaxed); E_form = 0.68 eV per formula unit; energy relative to the lowest polymorph listed for this composition = 0.00 eV/f.u.; VASP energy = -4.538 eV/atom; space-group type = No. 2
1.0
-2.812 1.442 -1.597
5.198 0.300 -4.292
-2.889 -13.967 -1.902
Ho La Er
4 1 5
Cartesian
-2.875 -10.015 -3.271
2.371 -2.210 -4.521
-0.795 -9.790 -5.981
0.291 -2.434 -1.811
-1.406 0.721 -0.798
-0.845 -3.861 -4.720
-1.272 -5.439 -1.680
0.768 -6.786 -6.111
1.193 0.871 -2.944
0.341 -8.363 -3.071

***

4.
La2Ho3Er4 (PBE, relaxed); E_form = 0.45 eV per formula unit; energy relative to the lowest polymorph listed for this composition = 0.00 eV/f.u.; VASP energy = -4.599 eV/atom; space-group type = No. 156
1.0
3.587 0.000 0.000
-1.793 3.106 0.000
0.000 0.000 26.326
Ho Er La
3 4 2
Cartesian
1.793 1.035 17.060
0.000 0.000 25.858
0.000 0.000 8.690
1.793 1.035 11.490
0.000 0.000 14.266
1.793 1.035 5.941
0.000 0.000 19.841
1.793 1.035 22.814
1.793 1.035 2.437

***

5.
La3Ho2Er4 (PBE, relaxed); E_form = 1.28 eV per formula unit; energy relative to the lowest polymorph listed for this composition = 0.31 eV/f.u.; VASP energy = -4.545 eV/atom; space-group type = No. 15
1.0
-1.072 -1.609 6.091
9.575 2.565 0.404
-1.233 9.835 0.421
La Er Ho
6 8 4
Cartesian
2.953 5.272 4.982
4.317 5.520 1.935
6.261 10.763 3.870
1.009 0.029 3.046
-0.883 0.135 6.094
8.153 10.656 0.823
4.228 2.025 2.689
7.532 4.400 3.562
-0.262 6.392 3.354
1.780 9.436 0.527
7.518 6.920 1.176
3.042 8.766 4.227
-0.248 3.871 5.740
5.489 1.356 6.389
2.306 1.565 5.637
1.129 3.522 2.593
6.141 7.270 4.324
4.964 9.227 1.280

***

6.
LaHo4Er3 (PBE, relaxed); E_form = 1.36 eV per formula unit; energy relative to the lowest polymorph listed for this composition = 1.26 eV/f.u.; VASP energy = -4.445 eV/atom; space-group type = No. 71
1.0
-1.377 2.129 -2.333
2.374 -3.812 -4.882
-12.403 -1.408 8.583
Ho Er La
4 3 1
Cartesian
-3.716 0.510 0.115
-2.489 -1.450 -2.399
-8.917 -1.639 3.768
-7.690 -3.600 1.254
-5.654 -2.096 -1.120
1.187 -1.906 -2.441
-5.751 -0.994 2.488
-0.689 1.065 -1.166

***

7.
LaHo4Er5 (PBE, relaxed); E_form = 3.09 eV per formula unit; energy relative to the lowest polymorph listed for this composition = 2.42 eV/f.u.; VASP energy = -4.296 eV/atom; space-group type = No. 79
1.0
6.267 0.000 0.000
3.134 7.191 0.000
3.134 0.000 7.191
Er La Ho
5 1 4
Cartesian
5.936 6.538 4.465
9.070 2.725 6.538
5.936 0.652 2.725
4.270 0.000 0.000
2.802 4.465 0.652
1.402 0.000 0.000
2.847 2.152 2.901
5.981 4.290 2.152
9.114 5.038 4.290
5.981 2.901 5.038

***

8.
LaHo8Er2 (PBE, relaxed); E_form = 2.00 eV per formula unit; energy relative to the lowest polymorph listed for this composition = 0.65 eV/f.u.; VASP energy = -4.425 eV/atom; space-group type = No. 12
1.0
6.499 -1.235 -0.863
-0.230 8.781 2.137
-0.230 5.028 7.510
Ho Er La
8 2 1
Cartesian
2.347 2.449 1.711
3.692 10.125 7.073
4.122 6.491 6.457
4.931 4.909 3.429
1.917 6.083 2.326
1.108 7.665 5.354
1.917 4.278 4.911
4.122 8.297 3.872
5.858 2.380 1.663
0.182 10.194 7.121
0.000 0.000 0.000